# PBE Li3Zn2Pt, optimized geometry
# VASP energy ... -0.1988 Ry/atom
# Energy of formation ... -0.3162 eV/atom
data_Li3Zn2Pt
_chemical_formula_sum 'Li12 Zn8 Pt4'
_cell_length_a 7.8138
_cell_length_b 9.6997
_cell_length_c 5.1412
_cell_angle_alpha 90.00
_cell_angle_beta 90.00
_cell_angle_gamma 90.00
_space_group_name_H-M_alt 'C m c m'
_space_group_IT_number 63
_space_group_name_Hall '-C 2c 2'
loop_
_atom_site_label
_atom_site_fract_x
_atom_site_fract_y
_atom_site_fract_z
_atom_site_occupancy
Li1 0.0000 0.0716 0.2500 1
Li2 0.1689 0.2407 0.7500 1
Zn1 0.1937 0.5000 0.0000 1
Pt1 0.0000 0.3300 0.2500 1

***

# PBE LiZn5Pt4, optimized geometry
# VASP energy ... -0.2758 Ry/atom
# Energy of formation ... -0.5072 eV/atom
data_LiZn5Pt4
_chemical_formula_sum 'Li1 Zn5 Pt4'
_cell_length_a 2.8497
_cell_length_b 3.6129
_cell_length_c 14.1140
_cell_angle_alpha 90.00
_cell_angle_beta 90.00
_cell_angle_gamma 90.00
_space_group_name_H-M_alt 'P m m m'
_space_group_IT_number 47
loop_
_space_group_symop_operation_xyz
'x,y,z'
'-x,-y,-z'
'-x,-y,z'
'x,y,-z'
'x,-y,-z'
'-x,y,z'
'-x,y,-z'
'x,-y,z'
loop_
_atom_site_label
_atom_site_fract_x
_atom_site_fract_y
_atom_site_fract_z
_atom_site_occupancy
Li1 0.0000 0.0000 0.0000 1
Zn1 0.5000 0.5000 0.0993 1
Zn2 0.5000 0.5000 0.2988 1
Zn3 0.5000 0.5000 0.5000 1
Pt1 0.0000 0.0000 0.1937 1
Pt2 0.0000 0.0000 0.3986 1

***

# PBE Li2Zn2Pt, optimized geometry
# VASP energy ... -0.2132 Ry/atom
# Excess energy over the best structure of this formula in the dataset ... 4 meV/atom
# Energy of formation ... -0.4175 eV/atom
data_Li2Zn2Pt
_chemical_formula_sum 'Li4 Zn4 Pt2'
_cell_length_a 7.4873
_cell_length_b 4.1885
_cell_length_c 5.1039
_cell_angle_alpha 90.00
_cell_angle_beta 121.62
_cell_angle_gamma 90.00
_space_group_name_H-M_alt 'C 1 2/m 1'
_space_group_IT_number 12
loop_
_space_group_symop_operation_xyz
'x,y,z'
'-x,-y,-z'
'-x,y,-z'
'x,-y,z'
'x+1/2,y+1/2,z'
'-x+1/2,-y+1/2,-z'
'-x+1/2,y+1/2,-z'
'x+1/2,-y+1/2,z'
loop_
_atom_site_label
_atom_site_fract_x
_atom_site_fract_y
_atom_site_fract_z
_atom_site_occupancy
Li1 0.1031 0.0000 0.3095 1
Zn1 0.2064 0.5000 0.1138 1
Pt1 0.0000 0.5000 0.5000 1

***

# PBE Li4Zn2Pt, optimized geometry
# VASP energy ... -0.1806 Ry/atom
# Energy of formation ... -0.1367 eV/atom
data_Li4Zn2Pt
_chemical_formula_sum 'Li16 Zn8 Pt4'
_cell_length_a 7.6802
_cell_length_b 7.6802
_cell_length_c 7.5212
_cell_angle_alpha 90.00
_cell_angle_beta 90.00
_cell_angle_gamma 90.00
_space_group_name_H-M_alt 'I -4 2 d'
_space_group_IT_number 122
_space_group_name_Hall 'I -4 2bw'
loop_
_atom_site_label
_atom_site_fract_x
_atom_site_fract_y
_atom_site_fract_z
_atom_site_occupancy
Li1 0.0724 0.6810 0.4665 1
Zn1 0.1075 0.7500 0.1250 1
Pt1 0.0000 0.0000 0.5000 1

***

# PBE LiZnPt, optimized geometry
# VASP energy ... -0.2617 Ry/atom
# Excess energy over the best structure of this formula in the dataset ... 88 meV/atom
# Energy of formation ... -0.4842 eV/atom
data_LiZnPt
_chemical_formula_sum 'Li6 Zn6 Pt6'
_cell_length_a 5.8716
_cell_length_b 4.1174
_cell_length_c 11.5566
_cell_angle_alpha 90.00
_cell_angle_beta 97.76
_cell_angle_gamma 90.00
_space_group_name_H-M_alt 'P 1 21/m 1'
_space_group_IT_number 11
loop_
_space_group_symop_operation_xyz
'x,y,z'
'-x,-y,-z'
'-x,y+1/2,-z'
'x,-y+1/2,z'
loop_
_atom_site_label
_atom_site_fract_x
_atom_site_fract_y
_atom_site_fract_z
_atom_site_occupancy
Li1 0.0788 0.2500 0.0811 1
Li2 0.2225 0.2500 0.3853 1
Li3 0.3953 0.7500 0.7661 1
Zn1 0.2051 0.7500 0.5446 1
Zn2 0.2204 0.2500 0.8773 1
Zn3 0.2459 0.7500 0.2103 1
Pt1 0.0643 0.2500 0.6572 1
Pt2 0.3517 0.7500 0.0097 1
Pt3 0.4954 0.2500 0.6000 1

***

# PBE Li2ZnPt3, optimized geometry
# VASP energy ... -0.3243 Ry/atom
# Energy of formation ... -0.5417 eV/atom
data_Li2ZnPt3
_chemical_formula_sum 'Li2 Zn1 Pt3'
_cell_length_a 2.9917
_cell_length_b 2.9917
_cell_length_c 9.0171
_cell_angle_alpha 90.00
_cell_angle_beta 90.00
_cell_angle_gamma 90.00
_space_group_name_H-M_alt 'P 4/m m m'
_space_group_IT_number 123
_space_group_name_Hall '-P 4 2'
loop_
_atom_site_label
_atom_site_fract_x
_atom_site_fract_y
_atom_site_fract_z
_atom_site_occupancy
Li1 0.0000 0.0000 0.1578 1
Zn1 0.0000 0.0000 0.5000 1
Pt1 0.5000 0.5000 0.0000 1
Pt2 0.5000 0.5000 0.3242 1

***

# PBE Li2Zn2Pt, optimized geometry
# VASP energy ... -0.2135 Ry/atom
# Excess energy over the best structure of this formula in the dataset ... 0 meV/atom
# Energy of formation ... -0.4211 eV/atom
data_Li2Zn2Pt
_chemical_formula_sum 'Li4 Zn4 Pt2'
_cell_length_a 9.0365
_cell_length_b 2.7886
_cell_length_c 6.6465
_cell_angle_alpha 90.00
_cell_angle_beta 120.27
_cell_angle_gamma 90.00
_space_group_name_H-M_alt 'C 1 2/m 1'
_space_group_IT_number 12
loop_
_space_group_symop_operation_xyz
'x,y,z'
'-x,-y,-z'
'-x,y,-z'
'x,-y,z'
'x+1/2,y+1/2,z'
'-x+1/2,-y+1/2,-z'
'-x+1/2,y+1/2,-z'
'x+1/2,-y+1/2,z'
loop_
_atom_site_label
_atom_site_fract_x
_atom_site_fract_y
_atom_site_fract_z
_atom_site_occupancy
Li1 0.2022 0.0000 0.2983 1
Zn1 0.0944 0.5000 0.8827 1
Pt1 0.0000 0.0000 0.5000 1

***

# PBE Li23Zn6Pt, optimized geometry
# VASP energy ... -0.1485 Ry/atom
# Energy of formation ... -0.0971 eV/atom
data_Li23Zn6Pt
_chemical_formula_sum 'Li46 Zn12 Pt2'
_cell_length_a 7.9329
_cell_length_b 7.9329
_cell_length_c 16.6498
_cell_angle_alpha 90.00
_cell_angle_beta 90.00
_cell_angle_gamma 90.00
_space_group_name_H-M_alt 'I 4/m m m'
_space_group_IT_number 139
_space_group_name_Hall '-I 4 2'
loop_
_atom_site_label
_atom_site_fract_x
_atom_site_fract_y
_atom_site_fract_z
_atom_site_occupancy
Li1 0.0000 0.0000 0.0000 1
Li2 0.0000 0.2330 0.3806 1
Li3 0.0000 0.2507 0.1227 1
Li4 0.0000 0.5000 0.0000 1
Li5 0.2500 0.2500 0.2500 1
Zn1 0.0000 0.0000 0.2464 1
Zn2 0.2408 0.2408 0.5000 1
Pt1 0.0000 0.0000 0.5000 1

***

# PBE Li7Zn3Pt, optimized geometry
# VASP energy ... -0.1708 Ry/atom
# Energy of formation ... -0.2098 eV/atom
data_Li7Zn3Pt
_chemical_formula_sum 'Li28 Zn12 Pt4'
_cell_length_a 2.7283
_cell_length_b 21.3275
_cell_length_c 12.4735
_cell_angle_alpha 90.00
_cell_angle_beta 90.00
_cell_angle_gamma 90.00
_space_group_name_H-M_alt 'C m c m'
_space_group_IT_number 63
_space_group_name_Hall '-C 2c 2'
loop_
_atom_site_label
_atom_site_fract_x
_atom_site_fract_y
_atom_site_fract_z
_atom_site_occupancy
Li1 0.0000 0.0519 0.1389 1
Li2 0.0000 0.0820 0.5929 1
Li3 0.0000 0.1810 0.2500 1
Li4 0.0000 0.2228 0.6035 1
Zn1 0.0000 0.3441 0.5554 1
Zn2 0.0000 0.3467 0.2500 1
Pt1 0.0000 0.4691 0.2500 1

***

# PBE LiZnPt, optimized geometry
# VASP energy ... -0.2626 Ry/atom
# Excess energy over the best structure of this formula in the dataset ... 75 meV/atom
# Energy of formation ... -0.4965 eV/atom
data_LiZnPt
_chemical_formula_sum 'Li2 Zn2 Pt2'
_cell_length_a 3.1008
_cell_length_b 3.1008
_cell_length_c 8.5811
_cell_angle_alpha 90.00
_cell_angle_beta 90.00
_cell_angle_gamma 90.00
_space_group_name_H-M_alt 'I 4 m m'
_space_group_IT_number 107
_space_group_name_Hall 'I 4 -2'
loop_
_atom_site_label
_atom_site_fract_x
_atom_site_fract_y
_atom_site_fract_z
_atom_site_occupancy
Li1 0.0000 0.0000 0.0000 1
Zn1 0.0000 0.0000 0.6678 1
Pt1 0.0000 0.0000 0.3394 1

***

# PBE LiZnPt6, optimized geometry
# VASP energy ... -0.3847 Ry/atom
# Energy of formation ... -0.3054 eV/atom
data_LiZnPt6
_chemical_formula_sum 'Li2 Zn2 Pt12'
_cell_length_a 8.7451
_cell_length_b 3.9286
_cell_length_c 7.8213
_cell_angle_alpha 90.00
_cell_angle_beta 116.55
_cell_angle_gamma 90.00
_space_group_name_H-M_alt 'C 1 2/m 1'
_space_group_IT_number 12
loop_
_space_group_symop_operation_xyz
'x,y,z'
'-x,-y,-z'
'-x,y,-z'
'x,-y,z'
'x+1/2,y+1/2,z'
'-x+1/2,-y+1/2,-z'
'-x+1/2,y+1/2,-z'
'x+1/2,-y+1/2,z'
loop_
_atom_site_label
_atom_site_fract_x
_atom_site_fract_y
_atom_site_fract_z
_atom_site_occupancy
Li1 0.0000 0.0000 0.0000 1
Zn1 0.0000 0.0000 0.5000 1
Pt1 0.0002 0.5000 0.2461 1
Pt2 0.2493 0.5000 0.6261 1
Pt3 0.2498 0.0000 0.8767 1

***

# PBE LiZn2Pt3, optimized geometry
# VASP energy ... -0.3178 Ry/atom
# Excess energy over the best structure of this formula in the dataset ... 21 meV/atom
# Energy of formation ... -0.5602 eV/atom
data_LiZn2Pt3
_chemical_formula_sum 'Li1 Zn2 Pt3'
_cell_length_a 2.9161
_cell_length_b 2.9161
_cell_length_c 9.9413
_cell_angle_alpha 90.00
_cell_angle_beta 90.00
_cell_angle_gamma 90.00
_space_group_name_H-M_alt 'P 4/m m m'
_space_group_IT_number 123
_space_group_name_Hall '-P 4 2'
loop_
_atom_site_label
_atom_site_fract_x
_atom_site_fract_y
_atom_site_fract_z
_atom_site_occupancy
Li1 0.0000 0.0000 0.0000 1
Zn1 0.0000 0.0000 0.3253 1
Pt1 0.5000 0.5000 0.1587 1
Pt2 0.5000 0.5000 0.5000 1